Here is a relaxed Sc2CuAu2 crystal from the Alexandria database. Energies are from PBE-GGA.

Summary:
Volume: 98 Å³/f.u.
N(E_F): 8.70 states/eV per cell
Relative energy among the computed polymorphs: 8 meV/atom

Cell and atoms, written as CIF:
```
data_Sc2CuAu2
_chemical_formula_sum 'Sc4 Cu2 Au4'
_cell_length_a 7.421
_cell_length_b 7.421
_cell_length_c 3.551
_cell_angle_alpha 90.00
_cell_angle_beta 90.00
_cell_angle_gamma 90.00
_space_group_name_H-M_alt 'P 4/m b m'
_space_group_IT_number 127
_space_group_name_Hall '-P 4 2ab'
loop_
_atom_site_label
_atom_site_fract_x
_atom_site_fract_y
_atom_site_fract_z
Sc1 0.165 0.335 0.000
Cu1 0.000 0.000 0.500
Au1 0.137 0.637 0.500
```


Here is a relaxed MnOsRu2 crystal from the Alexandria database. Energies are from PBE-GGA.

Summary:
Volume: 56 Å³/f.u.
N(E_F): 7.93 states/eV per cell
Relative energy among the computed polymorphs: 182 meV/atom

Cell and atoms, written as CIF:
```
data_MnOsRu2
_chemical_formula_sum 'Mn2 Os2 Ru4'
_cell_length_a 2.847
_cell_length_b 4.332
_cell_length_c 9.036
_cell_angle_alpha 90.00
_cell_angle_beta 90.00
_cell_angle_gamma 90.00
_space_group_name_H-M_alt 'I m m 2'
_space_group_IT_number 44
loop_
_space_group_symop_operation_xyz
'x,y,z'
'-x,-y,z'
'-x,y,z'
'x,-y,z'
'x+1/2,y+1/2,z+1/2'
'-x+1/2,-y+1/2,z+1/2'
'-x+1/2,y+1/2,z+1/2'
'x+1/2,-y+1/2,z+1/2'
loop_
_atom_site_label
_atom_site_fract_x
_atom_site_fract_y
_atom_site_fract_z
Mn1 0.000 0.000 0.000
Os1 0.000 0.500 0.724
Ru1 0.000 0.000 0.496
Ru2 0.000 0.500 0.277
```


Here is a relaxed Ca2HfAu2 crystal from the Alexandria database. Energies are from PBE-GGA.

Summary:
Volume: 125 Å³/f.u.
Total energy: -0.33560 Ry/atom
N(E_F): 5.85 states/eV per cell

Cell and atoms, written as CIF:
```
data_Ca2HfAu2
_chemical_formula_sum 'Ca4 Hf2 Au4'
_cell_length_a 7.270
_cell_length_b 7.270
_cell_length_c 4.735
_cell_angle_alpha 90.00
_cell_angle_beta 90.00
_cell_angle_gamma 90.00
_space_group_name_H-M_alt 'P 4/m b m'
_space_group_IT_number 127
_space_group_name_Hall '-P 4 2ab'
loop_
_atom_site_label
_atom_site_fract_x
_atom_site_fract_y
_atom_site_fract_z
Ca1 0.170 0.330 0.000
Hf1 0.000 0.000 0.500
Au1 0.140 0.640 0.500
```


Here is a relaxed Nb4Re2Os crystal from the Alexandria database. Energies are from PBE-GGA.

Summary:
Volume: 148 Å³/f.u.
N(E_F): 17.38 states/eV per cell
Relative energy among the computed polymorphs: 1210 meV/atom

Cell and atoms, written as CIF:
```
data_Nb4Re2Os
_chemical_formula_sum 'Nb8 Re4 Os2'
_cell_length_a 4.786
_cell_length_b 4.786
_cell_length_c 12.938
_cell_angle_alpha 90.00
_cell_angle_beta 90.00
_cell_angle_gamma 90.00
_space_group_name_H-M_alt 'I 4/m m m'
_space_group_IT_number 139
_space_group_name_Hall '-I 4 2'
loop_
_atom_site_label
_atom_site_fract_x
_atom_site_fract_y
_atom_site_fract_z
Nb1 0.000 0.000 0.197
Nb2 0.000 0.500 0.000
Re1 0.000 0.000 0.387
Os1 0.000 0.000 0.000
```


Here is a relaxed Cs2HF crystal from the Alexandria database. Energies are from PBE-GGA.

Summary:
Volume: 107 Å³/f.u.
N(E_F): 0.00 states/eV per cell
Relative energy among the computed polymorphs: 82 meV/atom

Cell and atoms, written as CIF:
```
data_Cs2HF
_chemical_formula_sum 'Cs2 H1 F1'
_cell_length_a 3.761
_cell_length_b 3.761
_cell_length_c 7.565
_cell_angle_alpha 90.00
_cell_angle_beta 90.00
_cell_angle_gamma 90.00
_space_group_name_H-M_alt 'P 4/m m m'
_space_group_IT_number 123
_space_group_name_Hall '-P 4 2'
loop_
_atom_site_label
_atom_site_fract_x
_atom_site_fract_y
_atom_site_fract_z
Cs1 0.000 0.000 0.243
H1 0.500 0.500 0.500
F1 0.500 0.500 0.000
```